Run w
! PBE-GGA TiCr3Sb, relaxed; values from VASP
&SYSTEM
  ibrav = 0, nat = 5, ntyp = 3
/
ATOMIC_SPECIES
Ti 47.87 Ti.upf
Cr 52.00 Cr.upf
Sb 121.76 Sb.upf
ATOMIC_POSITIONS crystal
Ti 0.000 0.000 0.000
Cr 0.000 0.500 0.500
Cr 0.500 0.000 0.500
Cr 0.500 0.500 0.000
Sb 0.500 0.500 0.500
CELL_PARAMETERS angstrom
4.954 0.000 0.000
0.000 4.954 0.000
0.000 0.000 4.954
! Symmetry   Pm-3m
! D(E_F)   3.140 states/eV per atom
! V   122 Å³/cell

Run x
! PBE-GGA TiCr3Sb, relaxed; values from VASP
&SYSTEM
  ibrav = 0, nat = 5, ntyp = 3
/
ATOMIC_SPECIES
Ti 47.87 Ti.upf
Cr 52.00 Cr.upf
Sb 121.76 Sb.upf
ATOMIC_POSITIONS crystal
Ti 0.000 0.000 0.000
Cr 0.000 0.000 0.500
Cr 0.000 0.500 0.000
Cr 0.500 0.000 0.000
Sb 0.500 0.500 0.500
CELL_PARAMETERS angstrom
4.554 0.000 0.000
0.000 4.554 0.000
0.000 0.000 4.554
! Symmetry   Pm-3m
! D(E_F)   1.505 states/eV per atom
! V   94 Å³/cell

run x has the most favorable energy; the next structure is 0.215 eV/atom above.